Crystalline Mg4Ag2HgAu at its relaxed geometry. Source: Alexandria via LeMat-Bulk, functional PBE.

abc: 4.736 4.736 8.263
angles: 73.35 73.35 60.00
Element x y z (fractional)
Mg 0.378 0.378 0.865
Ag 0.750 0.750 0.751
Mg 0.872 0.872 0.385
Mg 0.128 0.128 0.615
Au 0.500 0.500 0.500
Hg 0.000 0.000 0.000
Mg 0.622 0.622 0.135
Ag 0.250 0.250 0.249

Values from the calculation:
Crystal system: trigonal
Mass density (g/cm3): 7.8
Space group: R-3m, No. 166
E (eV/f.u.): -18.3
Energy of formation (meV/atom): -332